No. 1
This record from Alexandria describes a relaxed HoSi crystal. The functional is PBE.

Output
formation energy (no corrections) = -0.827 eV per atom
DOS at the Fermi energy = 1.13 states/eV/f.u.

Cell lengths 7.867, 3.823, 5.664 Å; angles 90.00, 90.00, 90.00 degrees
Space group Pnma (No. 62)
Unique sites:
Ho (0.180, 0.250, 0.115) x4
Si (0.038, 0.250, 0.630) x4

---

No. 2
This record from Alexandria describes a relaxed TcPbCl2 crystal. The functional is PBE.

Output
formation energy (no corrections) = 0.038 eV per atom
distance to the lowest polymorph of the same formula = 207 meV/atom
DOS at the Fermi energy = 2.17 states/eV/f.u.

Cell lengths 8.262, 8.262, 5.506 Å; angles 90.00, 90.00, 90.00 degrees
Space group I-42d (No. 122)
Unique sites:
Tc (0.000, 0.000, 0.000) x4
Pb (0.000, 0.000, 0.500) x4
Cl (0.132, 0.250, 0.125) x8

---

> Among the records above, which one has the highest formation energy (no corrections)?

TcPbCl2